[1]
A crystal of LiZnFe2 relaxed with PBEsol, computed with meta-GGA SCAN.

Properties
Space group: No. 71
Raw total energy: -12.945 eV per atom
Size of the total moment: 1.21 μB per atom
Density: 6.62 Mg/m³

Unit cell a=2.780 b=3.955 c=4.843 alpha=114.10 beta=106.68 gamma=90.00
Last column: magnetic moment on the atom in μB.
Sites, in units of the cell vectors:
1 Zn 0.000 0.500 0.000  -0.12
2 Fe 0.252 0.252 0.504  2.61
3 Fe 0.748 0.748 0.496  2.61
4 Li 0.500 0.000 0.000  -0.05

[2]
A crystal of LiZn2Fe relaxed with PBEsol, computed with meta-GGA SCAN.

Properties
Space group: No. 123
Raw total energy: -11.986 eV per atom
Size of the total moment: 0.59 μB per atom
Density: 6.25 Mg/m³

Unit cell a=2.565 b=2.565 c=7.815 alpha=90.00 beta=90.00 gamma=90.00
Last column: magnetic moment on the atom in μB.
Sites, in units of the cell vectors:
1 Fe 0.500 0.500 0.500  2.62
2 Zn 0.000 0.000 0.265  -0.07
3 Li 0.500 0.500 0.000  -0.01
4 Zn 0.000 0.000 0.735  -0.07

[3]
A crystal of LiZn2Fe relaxed with PBEsol, computed with meta-GGA SCAN.

Properties
Space group: No. 123
Raw total energy: -11.988 eV per atom
Size of the total moment: 0.58 μB per atom
Density: 6.60 Mg/m³

Unit cell a=2.688 b=4.256 c=4.256 alpha=90.00 beta=90.00 gamma=90.00
Last column: magnetic moment on the atom in μB.
Sites, in units of the cell vectors:
1 Zn 0.000 0.000 0.125  -0.07
2 Zn 0.000 0.500 0.625  -0.07
3 Li 0.500 0.500 0.125  0.00
4 Fe 0.500 0.000 0.625  2.52

[4]
A crystal of LiZr2Fe relaxed with PBEsol, computed with meta-GGA SCAN.

Properties
Space group: No. 166
Raw total energy: -20.203 eV per atom
Size of the total moment: 0.08 μB per atom
Density: 5.20 Mg/m³

Unit cell a=3.283 b=3.283 c=8.594 alpha=78.99 beta=78.99 gamma=60.00
Last column: magnetic moment on the atom in μB.
Sites, in units of the cell vectors:
1 Zr 0.269 0.269 0.193  0.20
2 Zr 0.731 0.731 0.807  0.20
3 Li 0.500 0.500 0.500  0.00
4 Fe 0.000 0.000 0.000  -1.04

[5]
A crystal of LiZrFe relaxed with PBEsol, computed with meta-GGA SCAN.

Properties
Space group: No. 156
Raw total energy: -16.673 eV per atom
Size of the total moment: 0.85 μB per atom
Density: 5.15 Mg/m³
Polymorph energy (0 for the lowest one): 0.0000 eV/atom

Unit cell a=2.803 b=2.803 c=7.296 alpha=90.00 beta=90.00 gamma=120.00
Last column: magnetic moment on the atom in μB.
Sites, in units of the cell vectors:
1 Fe 0.000 0.000 0.992  2.95
2 Li 0.333 0.667 0.694  -0.03
3 Zr 0.667 0.333 0.315  -0.11

[6]
A crystal of LiZrFe relaxed with PBEsol, computed with meta-GGA SCAN.

Properties
Space group: No. 216
Raw total energy: -16.412 eV per atom
Size of the total moment: 0.30 μB per atom
Density: 5.05 Mg/m³
Polymorph energy (0 for the lowest one): 0.2606 eV/atom

Unit cell a=4.154 b=4.154 c=4.154 alpha=60.00 beta=60.00 gamma=60.00
Last column: magnetic moment on the atom in μB.
Sites, in units of the cell vectors:
1 Zr 0.500 0.500 0.500  -0.55
2 Li 0.000 0.000 0.000  -0.04
3 Fe 0.250 0.250 0.250  1.77

[7]
A crystal of LiZr2Fe relaxed with PBEsol, computed with meta-GGA SCAN.

Properties
Space group: No. 123
Raw total energy: -20.389 eV per atom
Size of the total moment: 0.10 μB per atom
Density: 5.46 Mg/m³

Unit cell a=2.968 b=2.968 c=8.462 alpha=90.00 beta=90.00 gamma=90.00
Last column: magnetic moment on the atom in μB.
Sites, in units of the cell vectors:
1 Fe 0.500 0.500 0.000  1.21
2 Li 0.500 0.500 0.500  0.00
3 Zr 0.000 0.000 0.193  -0.30
4 Zr 0.000 0.000 0.807  -0.30

[8]
A crystal of LuFe2 relaxed with PBEsol, computed with meta-GGA SCAN.

Properties
Space group: No. 194
Raw total energy: -30.628 eV per atom
Size of the total moment: 1.25 μB per atom
Density: 11.17 Mg/m³

Unit cell a=4.940 b=4.940 c=8.062 alpha=90.00 beta=90.00 gamma=120.00
Last column: magnetic moment on the atom in μB.
Sites, in units of the cell vectors:
1 Lu 0.667 0.333 0.938  -0.62
2 Fe 0.167 0.833 0.750  2.24
3 Fe 0.167 0.333 0.750  2.24
4 Fe 0.667 0.833 0.750  2.24
5 Lu 0.333 0.667 0.438  -0.62
6 Fe 0.000 0.000 0.500  2.24
7 Fe 0.000 0.000 0.000  2.24
8 Lu 0.667 0.333 0.562  -0.62
9 Fe 0.333 0.167 0.250  2.24
10 Fe 0.833 0.167 0.250  2.24
11 Fe 0.833 0.667 0.250  2.24
12 Lu 0.333 0.667 0.062  -0.62

Computed formation enthalpy at 0 K, in the same sequence as the records: 96, -99, -100, 276, 400, 660, 90, -93 meV/atom.